VASP calculation (meta-GGA SCAN) on a PBEsol-optimized structure of Sc2TlIn.

POSCAR file:
```
Sc2TlIn
1.0
3.213 0.000 0.000
0.000 3.213 0.000
0.000 0.000 8.438
Sc Tl In
2 1 1
Cartesian
0.000 0.000 6.321
0.000 0.000 2.117
1.606 1.606 0.000
1.606 1.606 4.219
```

Properties
Total magnetization ... 0.78 μB/cell
Fermi-level density of states ... 0.587 states/eV per atom
Space group ... P4/mmm (123)
ΔE_f ... -2.127 eV per formula unit

VASP calculation (meta-GGA SCAN) on a PBEsol-optimized structure of Sc2TlIn.

POSCAR file:
```
Sc2TlIn
1.0
-2.573 -1.892 -3.825
-4.087 -2.721 0.850
-4.493 1.833 -1.130
Sc Tl In
2 1 1
Cartesian
-8.365 -2.085 -3.079
-2.788 -0.695 -1.026
-5.576 -1.390 -2.052
0.000 0.000 0.000
```

Properties
Total magnetization ... 0.03 μB/cell
Fermi-level density of states ... 0.594 states/eV per atom
Space group ... Fm-3m (225)
ΔE_f ... -2.028 eV per formula unit

VASP calculation (meta-GGA SCAN) on a PBEsol-optimized structure of Sc2TlIn.

POSCAR file:
```
Sc2TlIn
1.0
4.541 0.000 0.000
-2.270 4.791 -0.055
0.000 2.197 3.973
In Sc Tl
1 2 1
Cartesian
0.000 0.000 0.000
2.270 4.043 2.953
0.000 2.945 0.966
2.270 1.099 1.987
```

Properties
Total magnetization ... 0.80 μB/cell
Fermi-level density of states ... 0.561 states/eV per atom
Space group ... I4/mmm (139)
ΔE_f ... -2.121 eV per formula unit

VASP calculation (meta-GGA SCAN) on a PBEsol-optimized structure of ScTlIn2.

POSCAR file:
```
ScTlIn2
1.0
4.464 0.000 0.000
0.000 4.464 0.000
0.000 0.000 4.530
In Tl Sc
2 1 1
Cartesian
0.000 2.232 0.000
2.232 0.000 0.000
0.000 0.000 2.265
2.232 2.232 2.265
```

Properties
Total magnetization ... 0.00 μB/cell
Fermi-level density of states ... 0.485 states/eV per atom
Space group ... P4/mmm (123)
ΔE_f ... -1.279 eV per formula unit

VASP calculation (meta-GGA SCAN) on a PBEsol-optimized structure of Sc2TlIn.

POSCAR file:
```
Sc2TlIn
1.0
4.214 0.000 0.000
0.000 4.214 0.000
-2.107 -2.107 5.044
In Sc Tl
1 2 1
Cartesian
0.000 2.107 2.522
0.000 0.000 0.000
2.107 0.000 2.522
2.107 2.107 0.000
```

Properties
Total magnetization ... 0.04 μB/cell
Fermi-level density of states ... 1.000 states/eV per atom
Space group ... I-4m2 (119)
ΔE_f ... -1.746 eV per formula unit

VASP calculation (meta-GGA SCAN) on a PBEsol-optimized structure of Sc2TlIn.

POSCAR file:
```
Sc2TlIn
1.0
3.647 0.000 0.000
0.000 4.732 0.000
-1.823 -2.366 5.198
Tl Sc In
1 2 1
Cartesian
1.823 2.366 0.063
1.823 2.366 5.193
1.823 0.000 2.623
0.000 2.366 2.517
```

Properties
Total magnetization ... 0.00 μB/cell
Fermi-level density of states ... 0.642 states/eV per atom
Space group ... Imm2 (44)
ΔE_f ... -1.796 eV per formula unit

VASP calculation (meta-GGA SCAN) on a PBEsol-optimized structure of ScIn2W.

POSCAR file:
```
ScIn2W
1.0
-2.240 -1.304 2.530
2.770 -1.738 1.557
1.086 4.814 3.443
In Sc W
2 1 1
Cartesian
1.071 4.747 3.395
0.537 -0.315 2.906
0.569 2.523 1.805
1.068 2.038 4.589
```

Properties
Total magnetization ... 0.00 μB/cell
Fermi-level density of states ... 0.668 states/eV per atom
Space group ... P4mm (99)
ΔE_f ... 0.974 eV per formula unit

VASP calculation (meta-GGA SCAN) on a PBEsol-optimized structure of Sc3InW.

POSCAR file:
```
Sc3InW
1.0
5.008 0.000 0.000
0.000 5.008 0.000
0.000 0.000 5.008
Sc W In
3 1 1
Cartesian
0.000 0.000 2.504
0.000 2.504 0.000
2.504 0.000 0.000
0.000 0.000 0.000
2.504 2.504 2.504
```

Properties
Total magnetization ... 0.00 μB/cell
Fermi-level density of states ... 1.245 states/eV per atom
Space group ... Pm-3m (221)
ΔE_f ... 2.230 eV per formula unit

VASP calculation (meta-GGA SCAN) on a PBEsol-optimized structure of ScIn2W.

POSCAR file:
```
ScIn2W
1.0
-0.292 -1.907 2.259
2.935 -0.458 -0.013
1.047 6.551 5.666
W In Sc
1 2 1
Cartesian
1.321 -1.182 1.123
0.249 1.555 1.345
0.799 4.996 4.321
1.845 2.093 3.956
```

Properties
Total magnetization ... 0.87 μB/cell
Fermi-level density of states ... 0.550 states/eV per atom
Space group ... P4/mmm (123)
ΔE_f ... 0.638 eV per formula unit

VASP calculation (meta-GGA SCAN) on a PBEsol-optimized structure of ScIn2W.

POSCAR file:
```
ScIn2W
1.0
2.990 0.000 0.000
-1.495 4.882 0.008
0.000 -0.844 5.357
Sc In W
1 2 1
Cartesian
1.495 0.000 0.000
0.000 2.275 1.416
1.495 1.763 3.949
0.000 -0.422 2.679
```

Properties
Total magnetization ... 0.00 μB/cell
Fermi-level density of states ... 0.393 states/eV per atom
Space group ... C2/m (12)
ΔE_f ... 0.633 eV per formula unit

VASP calculation (meta-GGA SCAN) on a PBEsol-optimized structure of Y2ScIn.

POSCAR file:
```
Y2ScIn
1.0
3.531 0.000 0.000
0.000 4.505 0.000
0.000 0.000 6.559
Y In Sc
2 1 1
Cartesian
0.000 0.000 4.936
0.000 0.000 1.623
1.766 2.252 0.000
1.766 2.252 3.279
```

Properties
Total magnetization ... 0.00 μB/cell
Fermi-level density of states ... 1.131 states/eV per atom
Space group ... Pmmm (47)
ΔE_f ... -1.266 eV per formula unit

VASP calculation (meta-GGA SCAN) on a PBEsol-optimized structure of Y2ScIn.

POSCAR file:
```
Y2ScIn
1.0
-2.272 3.862 -0.939
-1.660 -1.904 -3.818
-1.886 -2.637 4.880
Sc Y In
1 2 1
Cartesian
-2.756 -1.781 -0.658
-3.062 1.102 0.781
0.000 0.000 0.000
-1.966 0.979 -2.378
```

Properties
Total magnetization ... 0.00 μB/cell
Fermi-level density of states ... 1.359 states/eV per atom
Space group ... I-4m2 (119)
ΔE_f ... -1.180 eV per formula unit

VASP calculation (meta-GGA SCAN) on a PBEsol-optimized structure of YScIn2.

POSCAR file:
```
YScIn2
1.0
-0.337 -3.687 0.334
4.820 -0.501 -0.676
-1.468 2.497 5.390
Sc In Y
1 2 1
Cartesian
3.177 0.149 4.840
2.431 -0.240 -0.196
2.606 -1.904 2.290
0.394 0.205 2.659
```

Properties
Total magnetization ... 0.00 μB/cell
Fermi-level density of states ... 0.726 states/eV per atom
Space group ... Imm2 (44)
ΔE_f ... -2.095 eV per formula unit

VASP calculation (meta-GGA SCAN) on a PBEsol-optimized structure of YScIn2.

POSCAR file:
```
YScIn2
1.0
-1.772 -2.985 1.246
3.845 -2.910 -1.503
2.199 0.576 4.510
Y In Sc
1 2 1
Cartesian
-0.886 -1.492 0.623
1.922 -1.455 -0.752
1.100 0.288 2.255
2.136 -2.659 2.126
```

Properties
Total magnetization ... 0.00 μB/cell
Fermi-level density of states ... 0.479 states/eV per atom
Space group ... P4/mmm (123)
ΔE_f ... -2.393 eV per formula unit

VASP calculation (meta-GGA SCAN) on a PBEsol-optimized structure of Y2ScIn.

POSCAR file:
```
Y2ScIn
1.0
-2.783 1.690 -1.806
-3.178 -1.035 3.930
4.350 4.455 1.304
Sc Y In
1 2 1
Cartesian
-0.629 3.509 0.415
-0.968 1.652 3.038
0.011 0.040 0.020
1.343 4.693 2.322
```

Properties
Total magnetization ... 0.00 μB/cell
Fermi-level density of states ... 0.769 states/eV per atom
Space group ... Imm2 (44)
ΔE_f ... -1.425 eV per formula unit

VASP calculation (meta-GGA SCAN) on a PBEsol-optimized structure of Y2ScIn.

POSCAR file:
```
Y2ScIn
1.0
-0.255 1.222 -3.220
1.843 -2.679 -1.162
-7.438 -4.614 -1.162
Y In Sc
2 1 1
Cartesian
-7.323 -4.543 -1.144
-1.248 -1.996 -2.510
-3.837 -2.381 -0.599
-4.598 -4.074 -3.033
```

Properties
Total magnetization ... 0.31 μB/cell
Fermi-level density of states ... 0.860 states/eV per atom
Space group ... P4mm (99)
ΔE_f ... -1.269 eV per formula unit

VASP calculation (meta-GGA SCAN) on a PBEsol-optimized structure of Y2ScIn.

POSCAR file:
```
Y2ScIn
1.0
4.591 0.000 0.000
0.000 4.591 0.000
-2.295 -2.295 4.830
In Y Sc
1 2 1
Cartesian
2.295 2.295 0.000
0.000 2.295 2.415
2.295 0.000 2.415
0.000 0.000 0.000
```

Properties
Total magnetization ... 0.00 μB/cell
Fermi-level density of states ... 1.018 states/eV per atom
Space group ... I4/mmm (139)
ΔE_f ... -1.317 eV per formula unit

VASP calculation (meta-GGA SCAN) on a PBEsol-optimized structure of YScIn2.

POSCAR file:
```
YScIn2
1.0
-1.085 2.552 1.830
-3.193 0.521 -2.619
-3.728 -4.239 3.702
Y In Sc
1 2 1
Cartesian
-4.003 -0.583 1.456
-0.862 -0.980 0.856
-2.866 -3.258 2.846
-2.139 1.536 -0.395
```

Properties
Total magnetization ... 0.11 μB/cell
Fermi-level density of states ... 0.478 states/eV per atom
Space group ... Pmmm (47)
ΔE_f ... -2.522 eV per formula unit

VASP calculation (meta-GGA SCAN) on a PBEsol-optimized structure of Y2ScIn.

POSCAR file:
```
Y2ScIn
1.0
5.244 0.000 0.000
2.622 4.542 0.000
2.622 1.514 4.282
Y In Sc
2 1 1
Cartesian
0.000 0.000 0.000
7.867 4.542 3.212
5.244 3.028 2.141
2.622 1.514 1.071
```

Properties
Total magnetization ... 1.58 μB/cell
Fermi-level density of states ... 1.133 states/eV per atom
Space group ... F-43m (216)
ΔE_f ... -0.773 eV per formula unit

VASP calculation (meta-GGA SCAN) on a PBEsol-optimized structure of Y2ScIn.

POSCAR file:
```
Y2ScIn
1.0
3.468 0.000 -0.013
0.000 4.998 0.000
-1.711 0.000 6.142
Y Sc In
2 1 1
Cartesian
-1.496 0.000 5.868
1.958 2.499 1.808
0.233 2.499 4.641
0.230 0.000 3.019
```

Properties
Total magnetization ... 1.12 μB/cell
Fermi-level density of states ... 1.079 states/eV per atom
Space group ... Amm2 (38)
ΔE_f ... -1.223 eV per formula unit

VASP calculation (meta-GGA SCAN) on a PBEsol-optimized structure of YScIn2.

POSCAR file:
```
YScIn2
1.0
-3.261 -0.361 0.584
1.096 -2.066 4.845
-0.420 5.284 0.922
In Y Sc
2 1 1
Cartesian
0.548 -1.033 2.422
-0.210 2.642 0.461
-1.292 1.428 3.175
-1.631 -0.181 0.292
```

Properties
Total magnetization ... 0.00 μB/cell
Fermi-level density of states ... 0.706 states/eV per atom
Space group ... Cmmm (65)
ΔE_f ... -2.385 eV per formula unit

VASP calculation (meta-GGA SCAN) on a PBEsol-optimized structure of Y2ScIn.

POSCAR file:
```
Y2ScIn
1.0
4.658 0.000 0.000
0.000 4.676 0.000
0.000 0.000 4.676
Y Sc In
2 1 1
Cartesian
0.000 2.338 0.000
0.000 0.000 2.338
2.329 0.000 0.000
2.329 2.338 2.338
```

Properties
Total magnetization ... 1.59 μB/cell
Fermi-level density of states ... 0.825 states/eV per atom
Space group ... P4/mmm (123)
ΔE_f ... -1.483 eV per formula unit

VASP calculation (meta-GGA SCAN) on a PBEsol-optimized structure of YScIn2.

POSCAR file:
```
YScIn2
1.0
-0.299 3.220 1.671
-3.420 -3.378 1.934
4.931 -1.123 3.044
In Sc Y
2 1 1
Cartesian
1.672 -0.067 4.392
-0.459 -1.214 2.257
2.466 -0.561 1.522
-0.149 1.610 0.836
```

Properties
Total magnetization ... 0.00 μB/cell
Fermi-level density of states ... 0.735 states/eV per atom
Space group ... C2/m (12)
ΔE_f ... -1.756 eV per formula unit

VASP calculation (meta-GGA SCAN) on a PBEsol-optimized structure of Sc2ZnIn.

POSCAR file:
```
Sc2ZnIn
1.0
3.363 0.000 0.000
0.000 4.382 0.000
-1.682 0.000 5.559
Sc Zn In
2 1 1
Cartesian
0.000 0.000 0.901
0.000 2.191 4.555
1.682 0.000 3.635
1.682 2.191 1.991
```

Properties
Total magnetization ... 0.14 μB/cell
Fermi-level density of states ... 0.817 states/eV per atom
Space group ... Amm2 (38)
ΔE_f ... -1.822 eV per formula unit

VASP calculation (meta-GGA SCAN) on a PBEsol-optimized structure of Sc2ZnIn.

POSCAR file:
```
Sc2ZnIn
1.0
-3.273 3.109 1.692
-3.257 -1.455 3.244
0.277 1.550 4.557
Sc Zn In
2 1 1
Cartesian
-4.690 2.403 7.119
-1.563 0.801 2.373
-3.126 1.602 4.746
0.000 0.000 0.000
```

Properties
Total magnetization ... 0.05 μB/cell
Fermi-level density of states ... 0.755 states/eV per atom
Space group ... Fm-3m (225)
ΔE_f ... -2.111 eV per formula unit

VASP calculation (meta-GGA SCAN) on a PBEsol-optimized structure of ScZn2In.

POSCAR file:
```
ScZn2In
1.0
-0.051 -2.139 -3.470
2.265 -3.002 1.817
-3.508 -1.905 1.226
Sc In Zn
1 1 2
Cartesian
-0.026 -1.070 -1.735
-0.648 -3.523 -0.213
-1.754 -0.952 0.613
1.132 -1.501 0.909
```

Properties
Total magnetization ... 0.00 μB/cell
Fermi-level density of states ... 0.536 states/eV per atom
Space group ... P4/mmm (123)
ΔE_f ... -1.485 eV per formula unit

VASP calculation (meta-GGA SCAN) on a PBEsol-optimized structure of ScZn2In2.

POSCAR file:
```
ScZn2In2
1.0
-3.823 0.826 -1.482
-1.598 -2.982 2.459
1.937 4.888 3.629
In Zn Sc
2 2 1
Cartesian
-2.298 2.318 1.318
-1.186 0.414 3.289
-2.865 -0.314 1.314
-0.618 3.047 3.292
0.000 0.000 0.000
```

Properties
Total magnetization ... 0.00 μB/cell
Fermi-level density of states ... 0.249 states/eV per atom
Space group ... I4/mmm (139)
ΔE_f ... -1.064 eV per formula unit

VASP calculation (meta-GGA SCAN) on a PBEsol-optimized structure of ScZnIn3.

POSCAR file:
```
ScZnIn3
1.0
-4.578 -2.009 -0.531
0.928 -3.125 3.827
-1.860 3.386 3.217
In Sc Zn
3 1 1
Cartesian
-2.289 -1.005 -0.266
0.464 -1.563 1.913
-0.930 1.693 1.608
-2.755 -0.874 3.256
0.000 0.000 0.000
```

Properties
Total magnetization ... 0.00 μB/cell
Fermi-level density of states ... 0.629 states/eV per atom
Space group ... Pm-3m (221)
ΔE_f ... 1.447 eV per formula unit

VASP calculation (meta-GGA SCAN) on a PBEsol-optimized structure of ScZnIn2.

POSCAR file:
```
ScZnIn2
1.0
-0.942 -2.238 -2.477
3.101 -1.500 0.408
-2.624 -4.136 4.735
Sc In Zn
1 2 1
Cartesian
-0.233 -3.937 1.333
-2.032 -3.203 3.667
-0.592 -0.933 1.068
1.079 -1.869 -1.035
```

Properties
Total magnetization ... 0.60 μB/cell
Fermi-level density of states ... 0.514 states/eV per atom
Space group ... Cmmm (65)
ΔE_f ... -0.886 eV per formula unit

VASP calculation (meta-GGA SCAN) on a PBEsol-optimized structure of ScZn2In.

POSCAR file:
```
ScZn2In
1.0
4.655 0.000 0.000
2.328 4.032 0.000
2.328 1.344 3.801
In Sc Zn
1 1 2
Cartesian
4.655 2.688 1.901
6.983 4.032 2.851
2.328 1.344 0.950
0.000 0.000 0.000
```

Properties
Total magnetization ... 0.00 μB/cell
Fermi-level density of states ... 0.236 states/eV per atom
Space group ... F-43m (216)
ΔE_f ... -0.810 eV per formula unit

VASP calculation (meta-GGA SCAN) on a PBEsol-optimized structure of Sc2ZnIn.

POSCAR file:
```
Sc2ZnIn
1.0
-2.706 -0.678 -1.892
-0.372 -2.950 1.589
-4.054 3.047 4.706
Zn Sc In
1 2 1
Cartesian
-1.539 -1.814 -0.152
-0.926 0.696 1.076
-3.127 2.351 3.631
-3.566 -0.290 2.202
```

Properties
Total magnetization ... 0.01 μB/cell
Fermi-level density of states ... 0.692 states/eV per atom
Space group ... P4/mmm (123)
ΔE_f ... -2.175 eV per formula unit